[1]
Compound: CaMn2Tl3Cl9
Source: Alexandria
Functional: PBE
Structure: optimized geometry

```
CaMn2Tl3Cl9
1.0
7.274 0.000 0.000
-3.637 6.300 0.000
0.000 0.000 9.082
Cl Ca Tl Mn
9 1 3 2
Direct
0.830 0.660 0.681
0.660 0.830 0.319
0.500 0.500 0.000
0.170 0.830 0.319
0.170 0.340 0.319
0.830 0.170 0.681
0.000 0.500 0.000
0.500 0.000 0.000
0.340 0.170 0.681
0.000 0.000 0.500
0.333 0.667 0.710
0.000 0.000 0.000
0.667 0.333 0.290
0.667 0.333 0.833
0.333 0.667 0.167
```

Calculated values
* formation energy from raw total energies: -19.60 eV/f.u.
* density of states at the Fermi level: 0.0 states/eV/f.u.
* calculated density: 4.32 g/cm3

[2]
Compound: Ca3MoCl
Source: Alexandria
Functional: PBE
Structure: optimized geometry

```
Ca3MoCl
1.0
-0.010 -4.484 -2.966
4.094 -1.929 2.903
-3.485 -2.253 3.418
Cl Ca Mo
1 3 1
Direct
0.000 0.000 0.000
0.500 0.000 0.000
0.000 0.500 0.000
0.000 0.000 0.500
0.500 0.500 0.500
```

Calculated values
* formation energy from raw total energies: 0.85 eV/f.u.
* density of states at the Fermi level: 5.7 states/eV/f.u.
* calculated density: 2.69 g/cm3

[3]
Compound: Ca2MoCl
Source: Alexandria
Functional: PBE
Structure: optimized geometry

```
Ca2MoCl
1.0
3.183 0.011 0.000
-0.009 3.183 0.000
0.000 0.000 11.127
Mo Cl Ca
1 1 2
Direct
0.500 0.500 0.787
0.000 0.000 0.433
0.000 0.000 0.986
0.500 0.500 0.293
```

Calculated values
* formation energy from raw total energies: 0.70 eV/f.u.
* density of states at the Fermi level: 3.5 states/eV/f.u.
* calculated density: 3.12 g/cm3

[4]
Compound: Ca4MoCl
Source: Alexandria
Functional: PBE
Structure: optimized geometry

```
Ca4MoCl
1.0
0.000 4.814 4.814
4.814 0.000 4.814
4.814 4.814 0.000
Mo Ca Cl
1 4 1
Direct
0.000 0.000 0.000
0.373 0.373 0.373
0.373 0.373 0.880
0.373 0.880 0.373
0.880 0.373 0.373
0.750 0.750 0.750
```

Calculated values
* formation energy from raw total energies: 4.25 eV/f.u.
* density of states at the Fermi level: 5.0 states/eV/f.u.
* calculated density: 2.17 g/cm3

[5]
Compound: Ca2MoCl
Source: Alexandria
Functional: PBE
Structure: optimized geometry

```
Ca2MoCl
1.0
-5.662 -0.690 2.807
-4.216 -4.340 -1.949
5.665 1.574 2.416
Mo Cl Ca
1 1 2
Direct
0.713 0.213 0.500
0.523 0.523 0.000
0.285 0.785 0.500
0.978 0.978 0.000
```

Calculated values
* formation energy from raw total energies: 0.30 eV/f.u.
* density of states at the Fermi level: 3.5 states/eV/f.u.
* calculated density: 3.78 g/cm3

[6]
Compound: CaMo3Cl
Source: Alexandria
Functional: PBE
Structure: optimized geometry

```
CaMo3Cl
1.0
4.789 0.000 0.000
0.000 4.789 0.000
0.000 0.000 4.789
Mo Cl Ca
3 1 1
Direct
0.500 0.000 0.000
0.000 0.000 0.500
0.000 0.500 0.000
0.500 0.500 0.500
0.000 0.000 0.000
```

Calculated values
* formation energy from raw total energies: 14.89 eV/f.u.
* density of states at the Fermi level: 8.1 states/eV/f.u.
* calculated density: 5.49 g/cm3

[7]
Compound: Ca2MoCl
Source: Alexandria
Functional: PBE
Structure: optimized geometry

```
Ca2MoCl
1.0
8.449 0.005 0.012
-3.630 4.175 -0.002
1.190 1.041 2.763
Ca Mo Cl
2 1 1
Direct
0.500 0.000 0.500
0.000 0.000 0.000
0.500 0.500 0.000
0.000 0.500 0.500
```

Calculated values
* formation energy from raw total energies: 0.13 eV/f.u.
* density of states at the Fermi level: 4.0 states/eV/f.u.
* calculated density: 3.61 g/cm3

[8]
Compound: Ca3MoCl
Source: Alexandria
Functional: PBE
Structure: optimized geometry

```
Ca3MoCl
1.0
-4.751 1.289 2.416
1.199 -3.370 4.156
2.462 4.129 2.638
Ca Cl Mo
3 1 1
Direct
0.500 0.000 0.000
0.000 0.000 0.500
0.000 0.500 0.000
0.500 0.500 0.500
0.000 0.000 0.000
```

Calculated values
* formation energy from raw total energies: 2.10 eV/f.u.
* density of states at the Fermi level: 3.8 states/eV/f.u.
* calculated density: 2.53 g/cm3

[9]
Compound: CaMo4Cl
Source: Alexandria
Functional: PBE
Structure: optimized geometry

```
CaMo4Cl
1.0
0.000 3.857 3.857
3.857 0.000 3.857
3.857 3.857 0.000
Cl Mo Ca
1 4 1
Direct
0.000 0.000 0.000
0.371 0.886 0.371
0.371 0.371 0.371
0.886 0.371 0.371
0.371 0.371 0.886
0.750 0.750 0.750
```

Calculated values
* formation energy from raw total energies: 4.91 eV/f.u.
* density of states at the Fermi level: 6.2 states/eV/f.u.
* calculated density: 6.64 g/cm3

[10]
Compound: Ca2MoCl
Source: Alexandria
Functional: PBE
Structure: optimized geometry

```
Ca2MoCl
1.0
-4.325 -1.411 -6.430
-5.224 -3.946 4.380
-6.720 0.560 -0.427
Mo Ca Cl
2 4 2
Direct
0.000 0.000 0.000
0.750 0.250 0.500
0.588 0.125 0.250
0.875 0.838 0.750
0.375 0.412 0.750
0.162 0.625 0.250
0.500 0.500 0.000
0.250 0.750 0.500
```

Calculated values
* formation energy from raw total energies: 0.83 eV/f.u.
* density of states at the Fermi level: 3.5 states/eV/f.u.
* calculated density: 2.96 g/cm3

[11]
Compound: CaMoCl
Source: Alexandria
Functional: PBE
Structure: optimized geometry

```
CaMoCl
1.0
4.514 0.000 0.000
-2.257 3.910 0.000
0.000 0.000 3.620
Cl Mo Ca
1 1 1
Direct
0.667 0.333 0.500
0.333 0.667 0.500
0.000 0.000 0.000
```

Calculated values
* formation energy from raw total energies: 1.28 eV/f.u.
* density of states at the Fermi level: 2.8 states/eV/f.u.
* calculated density: 4.46 g/cm3

[12]
Compound: CaMoCl
Source: Alexandria
Functional: PBE
Structure: optimized geometry

```
CaMoCl
1.0
7.820 0.248 -0.255
7.145 3.194 -0.217
0.676 0.121 2.944
Mo Ca Cl
1 1 1
Direct
0.352 0.352 0.648
0.018 0.018 0.982
0.630 0.630 0.370
```

Calculated values
* formation energy from raw total energies: 0.50 eV/f.u.
* density of states at the Fermi level: 1.0 states/eV/f.u.
* calculated density: 4.14 g/cm3

[13]
Compound: Ca2Mo2Cl
Source: Alexandria
Functional: PBE
Structure: optimized geometry

```
Ca2Mo2Cl
1.0
-1.821 1.821 9.164
1.821 -1.821 9.164
1.821 1.821 -9.164
Mo Cl Ca
2 1 2
Direct
0.250 0.750 0.500
0.750 0.250 0.500
0.000 0.000 0.000
0.611 0.611 0.000
0.389 0.389 0.000
```

Calculated values
* formation energy from raw total energies: -0.92 eV/f.u.
* density of states at the Fermi level: 4.3 states/eV/f.u.
* calculated density: 4.20 g/cm3

[14]
Compound: CaMo3Cl
Source: Alexandria
Functional: PBE
Structure: optimized geometry

```
CaMo3Cl
1.0
-1.811 4.168 -0.038
-4.114 -1.794 -0.710
-0.667 -0.248 4.488
Cl Ca Mo
1 1 3
Direct
0.000 0.000 0.000
0.500 0.500 0.500
0.500 0.000 0.000
0.000 0.000 0.500
0.000 0.500 0.000
```

Calculated values
* formation energy from raw total energies: 4.70 eV/f.u.
* density of states at the Fermi level: 5.7 states/eV/f.u.
* calculated density: 6.43 g/cm3

[15]
Compound: Ca2MoCl
Source: Alexandria
Functional: PBE
Structure: optimized geometry

```
Ca2MoCl
1.0
5.869 0.002 -0.376
5.014 3.051 -0.376
-0.389 -0.109 5.503
Ca Mo Cl
2 1 1
Direct
0.750 0.750 0.663
0.015 0.015 0.130
0.280 0.280 0.176
0.456 0.456 0.531
```

Calculated values
* formation energy from raw total energies: 0.18 eV/f.u.
* density of states at the Fermi level: 3.7 states/eV/f.u.
* calculated density: 3.58 g/cm3

[16]
Compound: CaMoCl
Source: Alexandria
Functional: PBE
Structure: optimized geometry

```
CaMoCl
1.0
-0.638 -0.998 -5.065
1.471 -4.592 -1.952
-3.585 -3.439 -1.542
Mo Cl Ca
1 1 1
Direct
0.500 0.500 0.500
0.000 0.000 0.000
0.750 0.750 0.750
```

Calculated values
* formation energy from raw total energies: 2.62 eV/f.u.
* density of states at the Fermi level: 2.1 states/eV/f.u.
* calculated density: 2.86 g/cm3

[17]
Compound: Ca2Mo2Cl
Source: Alexandria
Functional: PBE
Structure: optimized geometry

```
Ca2Mo2Cl
1.0
-4.044 2.133 -3.956
-0.237 -5.415 -2.678
-4.902 -2.648 -1.037
Mo Cl Ca
2 1 2
Direct
0.645 0.645 0.710
0.355 0.355 0.290
0.000 0.000 0.000
0.250 0.750 0.500
0.750 0.250 0.500
```

Calculated values
* formation energy from raw total energies: 3.81 eV/f.u.
* density of states at the Fermi level: 7.0 states/eV/f.u.
* calculated density: 3.75 g/cm3

[18]
Compound: Ca2MoCl
Source: Alexandria
Functional: PBE
Structure: optimized geometry

```
Ca2MoCl
1.0
3.260 0.000 0.000
0.000 3.260 0.000
0.000 0.000 8.626
Mo Ca Cl
1 2 1
Direct
0.500 0.500 0.750
0.000 0.000 0.002
0.000 0.000 0.498
0.500 0.500 0.250
```

Calculated values
* formation energy from raw total energies: -0.98 eV/f.u.
* density of states at the Fermi level: 3.2 states/eV/f.u.
* calculated density: 3.83 g/cm3

[19]
Compound: Ca2MoCl
Source: Alexandria
Functional: PBE
Structure: optimized geometry

```
Ca2MoCl
1.0
6.157 0.000 0.001
1.396 5.997 -0.001
-2.477 -4.636 3.207
Mo Cl Ca
1 1 2
Direct
0.750 0.250 0.500
0.250 0.750 0.500
0.466 0.466 0.000
0.034 0.034 0.000
```

Calculated values
* formation energy from raw total energies: 0.74 eV/f.u.
* density of states at the Fermi level: 2.4 states/eV/f.u.
* calculated density: 2.97 g/cm3

[20]
Compound: Ca2MoCl
Source: Alexandria
Functional: PBE
Structure: optimized geometry

```
Ca2MoCl
1.0
-0.919 0.703 -3.063
1.307 -2.962 -0.484
-7.728 -3.651 1.480
Cl Ca Mo
1 2 1
Direct
0.500 0.500 0.250
0.000 0.000 0.002
0.000 0.000 0.498
0.500 0.500 0.750
```

Calculated values
* formation energy from raw total energies: -1.01 eV/f.u.
* density of states at the Fermi level: 2.8 states/eV/f.u.
* calculated density: 3.83 g/cm3